PBE CeHo2AlAu4, optimized geometry; D(E_F) = 9.9 states/eV/f.u.; energy of formation from the pure elements = -0.6842 eV per atom; symmetry = R-3m; total DFT energy (no corrections) = -4.677 eV per atom
1.0
-0.881 1.937 4.460
2.658 -1.467 3.899
6.274 6.320 1.233
Au Ho Al Ce
4 2 1 1
direct
0.878 0.878 0.366
0.607 0.607 0.178
0.122 0.122 0.634
0.393 0.393 0.822
0.239 0.239 0.283
0.761 0.761 0.717
0.500 0.500 0.500
0.000 0.000 0.000

PBE DyReHgO6, optimized geometry; D(E_F) = 0.0 states/eV/f.u.; symmetry = C2; total DFT energy (no corrections) = -7.026 eV per atom; formation energy without anion corrections = -1.792 eV per atom
1.0
-4.932 2.233 -1.929
-2.839 -2.365 -4.403
-2.057 -4.101 2.610
O Hg Dy Re
6 1 1 1
direct
0.415 0.998 0.724
0.551 0.101 0.299
0.101 0.551 0.701
0.998 0.415 0.276
0.659 0.311 0.709
0.311 0.659 0.291
0.978 0.978 0.000
0.669 0.669 0.500
0.320 0.320 0.500

PBE YTaSb3, optimized geometry; D(E_F) = 2.7 states/eV/f.u.; symmetry = Pm-3m; ΔE to the lowest computed polymorph = 0.0000 eV/atom; total DFT energy (no corrections) = -5.923 eV per atom; formation energy without anion corrections = 0.214 eV per atom
1.0
-0.451 -2.167 4.883
-4.673 -2.213 -1.414
2.587 -4.376 -1.703
Sb Ta Y
3 1 1
direct
0.500 0.000 0.000
0.000 0.000 0.500
0.000 0.500 0.000
0.000 0.000 0.000
0.500 0.500 0.500

PBE Sm2Cd2Ag, optimized geometry; D(E_F) = 4.0 states/eV/f.u.; energy of formation from the pure elements = -0.2494 eV per atom; symmetry = C2/m; ΔE to the lowest computed polymorph = 0.0000 eV/atom; total DFT energy (no corrections) = -3.073 eV per atom
1.0
4.903 0.000 0.000
2.452 5.449 -0.791
2.452 -0.571 9.835
Cd Ag Sm
4 2 4
direct
0.656 0.817 0.871
0.344 0.183 0.129
0.943 0.695 0.418
0.057 0.305 0.582
0.595 0.136 0.674
0.405 0.864 0.326
0.080 0.745 0.094
0.685 0.283 0.348
0.315 0.717 0.652
0.920 0.255 0.906

PBE KTlTe4, optimized geometry; D(E_F) = 2.4 states/eV/f.u.; symmetry = Amm2; ΔE to the lowest computed polymorph = 0.0000 eV/atom; total DFT energy (no corrections) = -3.031 eV per atom; formation energy without anion corrections = -0.359 eV per atom
1.0
4.498 0.065 0.000
-0.045 4.498 0.000
0.000 0.000 11.381
Te K Tl
4 1 1
direct
0.001 0.497 0.750
0.501 0.997 0.246
0.501 0.997 0.750
0.001 0.497 0.246
0.001 0.998 0.498
0.502 0.496 0.998

PBE Cs3YH, optimized geometry; D(E_F) = 6.0 states/eV/f.u.; symmetry = Pm-3m; ΔE to the lowest computed polymorph = 0.0000 eV/atom; total DFT energy (no corrections) = -2.011 eV per atom
1.0
6.429 0.000 0.000
0.000 6.429 0.000
0.000 0.000 6.429
Y H Cs
1 1 3
direct
0.500 0.500 0.500
0.000 0.000 0.000
0.000 0.500 0.000
0.000 0.000 0.500
0.500 0.000 0.000

PBE CaHoAlCu, optimized geometry; D(E_F) = 3.6 states/eV/f.u.; energy of formation from the pure elements = -0.1877 eV per atom; symmetry = F-43m; total DFT energy (no corrections) = -3.792 eV per atom
1.0
5.070 0.000 0.000
2.535 4.391 0.000
2.535 1.464 4.140
Cu Al Ca Ho
1 1 1 1
direct
0.250 0.250 0.250
0.750 0.750 0.750
0.500 0.500 0.500
0.000 0.000 0.000

PBE CsInSe2, optimized geometry; D(E_F) = 0.7 states/eV/f.u.; symmetry = P3m1; total DFT energy (no corrections) = -3.311 eV per atom; formation energy without anion corrections = -0.671 eV per atom
1.0
3.845 -2.220 0.000
0.000 4.439 0.000
0.000 0.000 8.767
Se In Cs
2 1 1
direct
0.667 0.333 0.310
0.333 0.667 0.725
0.333 0.667 0.446
0.000 0.000 0.974

PBE CeGdPbAu, optimized geometry; D(E_F) = 11.4 states/eV/f.u.; energy of formation from the pure elements = -0.5479 eV per atom; symmetry = F-43m; total DFT energy (no corrections) = -7.298 eV per atom
1.0
5.368 0.000 0.000
2.684 4.649 0.000
2.684 1.550 4.383
Pb Au Gd Ce
1 1 1 1
direct
0.500 0.500 0.500
0.000 0.000 0.000
0.250 0.250 0.250
0.750 0.750 0.750

PBE HoBe2Ni2, optimized geometry; D(E_F) = 2.0 states/eV/f.u.; energy of formation from the pure elements = -0.3514 eV per atom; symmetry = I4/mmm; ΔE to the lowest computed polymorph = 0.0000 eV/atom; total DFT energy (no corrections) = -5.070 eV per atom
1.0
3.503 0.000 -1.309
-0.489 3.469 -1.309
0.013 0.015 5.376
Ho Be Ni
1 2 2
direct
0.000 0.000 0.000
0.629 0.629 0.257
0.371 0.371 0.743
0.750 0.250 0.500
0.250 0.750 0.500

PBE ErAlIn2, optimized geometry; D(E_F) = 2.1 states/eV/f.u.; energy of formation from the pure elements = -0.1147 eV per atom; symmetry = R-3m; total DFT energy (no corrections) = -3.560 eV per atom
1.0
4.632 0.000 0.000
2.316 4.011 0.000
2.316 1.337 5.263
In Er Al
2 1 1
direct
0.270 0.270 0.191
0.730 0.730 0.809
0.500 0.500 0.500
0.000 0.000 0.000

PBE LaRe2Hg, optimized geometry; D(E_F) = 4.8 states/eV/f.u.; energy of formation from the pure elements = 1.0011 eV per atom; symmetry = R-3m; ΔE to the lowest computed polymorph = 0.8256 eV/atom; total DFT energy (no corrections) = -6.530 eV per atom
1.0
10.628 -0.017 -0.010
10.232 2.873 -0.010
10.232 1.401 2.508
Re Hg La
2 1 1
direct
0.994 0.994 0.994
0.506 0.506 0.506
0.250 0.250 0.250
0.750 0.750 0.750